[1]
A relaxed structure of Ac3Rh3Pb4, computed with PBE.

Calculated values
density of states at the Fermi level: 11.279 states/eV/f.u.
V: 278 Å³/f.u.
size of the total moment: 0.00 μB per atom
E: -5.42 eV/atom

Cell: 8.9752 8.9752 8.9752 Å, 109.47 109.47 109.47°
Element x y z (fractional)
Ac: 0.6250 0.7500 0.8750
Ac: 0.8750 0.2500 0.6250
Ac: 0.1250 0.3750 0.2500
Ac: 0.3750 0.1250 0.7500
Ac: 0.2500 0.8750 0.1250
Ac: 0.7500 0.6250 0.3750
Rh: 0.1250 0.7500 0.3750
Rh: 0.3750 0.2500 0.1250
Rh: 0.6250 0.8750 0.2500
Rh: 0.8750 0.6250 0.7500
Rh: 0.2500 0.3750 0.6250
Rh: 0.7500 0.1250 0.8750
Pb: 0.0000 0.0000 0.3405
Pb: 0.5000 0.3405 0.5000
Pb: 0.6595 0.1595 0.1595
Pb: 0.0000 0.0000 0.8405
Pb: 0.8405 0.5000 0.0000
Pb: 0.5000 0.8405 0.5000
Pb: 0.3405 0.5000 0.0000
Pb: 0.1595 0.6595 0.6595


[2]
A relaxed structure of Ac2HRh, computed with PBE.

Calculated values
density of states at the Fermi level: 2.120 states/eV/f.u.
V: 101 Å³/f.u.
size of the total moment: 0.00 μB per atom
E: -5.07 eV/atom

Cell: 7.3780 6.4291 8.5142 Å, 90.00 90.00 90.00°
Element x y z (fractional)
Ac: 0.7970 0.2498 0.8751
Ac: 0.2970 0.7502 0.1249
Ac: 0.2970 0.7498 0.6249
Ac: 0.7970 0.2502 0.3751
Ac: 0.3281 0.2498 0.8751
Ac: 0.8281 0.7502 0.1249
Ac: 0.8281 0.7498 0.6249
Ac: 0.3281 0.2502 0.3751
H: 0.0626 0.7531 0.8747
H: 0.5626 0.2469 0.1253
H: 0.5626 0.2531 0.6253
H: 0.0626 0.7469 0.3747
Rh: 0.0625 0.2500 0.1251
Rh: 0.5625 0.7500 0.8749
Rh: 0.5625 0.7500 0.3749
Rh: 0.0625 0.2500 0.6251


Q: Which of these has the lowest density of states at the Fermi level?
A: Ac2HRh


Q: Which value of E does entry 2 give?
A: -5.07 eV/atom


Q: What is the density of states at the Fermi level in the first record?
A: 11.279 states/eV/f.u.


Q: Which value of size of the total moment does entry 2 give?
A: 0.00 μB per atom